This record from Alexandria via LeMat-Bulk describes a relaxed structure of K4HgH. The functional is PBE. Values from VASP.

Computed properties:
The density of states at the Fermi level comes out at 6.17 states/eV per cell. The value obtained for the energy is -0.105 Ry/atom. As for the total moment: 0.000 μB per atom. As for the space group: Pmmn.

Geometry as Quantum ESPRESSO input:
```
&SYSTEM
  ibrav = 0, nat = 12, ntyp = 3
/
ATOMIC_SPECIES
K 39.10 K.upf
Hg 200.59 Hg.upf
H 1.01 H.upf
ATOMIC_POSITIONS angstrom
K 2.211 6.197 0.000
K 5.007 7.253 3.374
K 5.007 2.567 5.371
K 5.007 7.253 7.367
K 5.007 3.555 0.000
K 2.211 1.512 8.744
K 2.211 1.512 1.997
K 2.211 5.210 5.371
Hg 5.004 8.729 0.000
Hg 2.208 0.036 5.371
H 5.007 5.379 5.371
H 2.211 3.386 0.000
CELL_PARAMETERS angstrom
5.592 0.000 0.000
0.000 8.765 0.000
0.000 0.000 10.741
```